Computed, not measured: crystalline Sm4YSc2 at its relaxed geometry at the PBE level of DFT.

## Properties
Formation energy from the elements: 280.7 meV per atom
M_tot: 0.00 μB/cell
V: 32.75 Å³ per atom
Energy above the lowest structure with this stoichiometry: 126 meV/atom

Lattice parameters (Å, degrees): 9.043 9.043 5.607 90.00 90.00 90.00
Element x y z (fractional)
Sm (0.102, 0.361, 0.000)
Sm (0.139, 0.602, 0.500)
Sm (0.361, 0.102, 0.000)
Sm (0.398, 0.861, 0.500)
Sm (0.602, 0.139, 0.500)
Sm (0.639, 0.898, 0.000)
Sm (0.861, 0.398, 0.500)
Sm (0.898, 0.639, 0.000)
Y (0.000, 0.000, 0.000)
Y (0.500, 0.500, 0.500)
Sc (0.186, 0.186, 0.500)
Sc (0.314, 0.686, 0.000)
Sc (0.686, 0.314, 0.000)
Sc (0.814, 0.814, 0.500)

***

Computed, not measured: crystalline Sm5YSc2 at its relaxed geometry at the PBE level of DFT.

## Properties
Formation energy from the elements: 130.8 meV per atom
M_tot: 0.73 μB/cell
V: 31.54 Å³ per atom
Energy above the lowest structure with this stoichiometry: 92 meV/atom

Lattice parameters (Å, degrees): 8.891 8.891 8.891 118.95 118.95 91.83
Element x y z (fractional)
Sm (0.000, 0.000, 0.000)
Sm (0.011, 0.511, 0.203)
Sm (0.193, 0.989, 0.500)
Sm (0.307, 0.807, 0.797)
Sm (0.489, 0.693, 0.500)
Sm (0.500, 0.500, 0.000)
Sm (0.511, 0.307, 0.500)
Sm (0.693, 0.193, 0.203)
Sm (0.807, 0.011, 0.500)
Sm (0.989, 0.489, 0.797)
Y (0.250, 0.250, 0.000)
Y (0.750, 0.750, 0.000)
Sc (0.149, 0.351, 0.500)
Sc (0.351, 0.851, 0.202)
Sc (0.649, 0.149, 0.798)
Sc (0.851, 0.649, 0.500)

***

Computed, not measured: crystalline Sm2YSc2 at its relaxed geometry at the PBE level of DFT.

## Properties
Formation energy from the elements: 55.6 meV per atom
M_tot: 0.00 μB/cell
V: 29.69 Å³ per atom
Energy above the lowest structure with this stoichiometry: 0 meV/atom

Lattice parameters (Å, degrees): 6.870 5.478 15.779 90.00 90.00 90.00
Element x y z (fractional)
Sm (0.110, 0.250, 0.147)
Sm (0.134, 0.250, 0.745)
Sm (0.366, 0.750, 0.245)
Sm (0.390, 0.750, 0.647)
Sm (0.610, 0.250, 0.353)
Sm (0.634, 0.250, 0.755)
Sm (0.866, 0.750, 0.255)
Sm (0.890, 0.750, 0.853)
Y (0.130, 0.750, 0.461)
Y (0.370, 0.250, 0.961)
Y (0.630, 0.750, 0.039)
Y (0.870, 0.250, 0.539)
Sc (0.114, 0.250, 0.347)
Sc (0.127, 0.750, 0.034)
Sc (0.373, 0.250, 0.534)
Sc (0.386, 0.750, 0.847)
Sc (0.614, 0.250, 0.153)
Sc (0.627, 0.750, 0.466)
Sc (0.873, 0.250, 0.966)
Sc (0.886, 0.750, 0.653)

***

Question: The highest M_tot belongs to which entry?
Answer: Sm5YSc2

***

Copy entry 2 word for word.
Computed, not measured: crystalline Sm5YSc2 at its relaxed geometry at the PBE level of DFT.

## Properties
Formation energy from the elements: 130.8 meV per atom
M_tot: 0.73 μB/cell
V: 31.54 Å³ per atom
Energy above the lowest structure with this stoichiometry: 92 meV/atom

Lattice parameters (Å, degrees): 8.891 8.891 8.891 118.95 118.95 91.83
Element x y z (fractional)
Sm (0.000, 0.000, 0.000)
Sm (0.011, 0.511, 0.203)
Sm (0.193, 0.989, 0.500)
Sm (0.307, 0.807, 0.797)
Sm (0.489, 0.693, 0.500)
Sm (0.500, 0.500, 0.000)
Sm (0.511, 0.307, 0.500)
Sm (0.693, 0.193, 0.203)
Sm (0.807, 0.011, 0.500)
Sm (0.989, 0.489, 0.797)
Y (0.250, 0.250, 0.000)
Y (0.750, 0.750, 0.000)
Sc (0.149, 0.351, 0.500)
Sc (0.351, 0.851, 0.202)
Sc (0.649, 0.149, 0.798)
Sc (0.851, 0.649, 0.500)

***

Question: The highest energy above the lowest structure with this stoichiometry belongs to which entry?
Answer: Sm4YSc2